A plane-wave DFT calculation with PBE was carried out for FeSiSe2 after structural relaxation.

Computed properties:
**E**: -5.148 eV per atom
**Total magnetization**: 2.1 Bohr magnetons per cell

Lattice parameters (Å, degrees): 3.2286 3.2286 7.0177 90.00 90.00 90.00
Fractional coordinates of all 4 atoms:
Fe: 0.0000 0.0000 0.0000
Si: 0.5000 0.5000 0.8289
Se: 0.0000 0.0000 0.6503
Se: 0.5000 0.5000 0.1937



A plane-wave DFT calculation with PBE was carried out for I3Cl after structural relaxation.

Computed properties:
**E**: -1.162 eV per atom
**Total magnetization**: 0.0 Bohr magnetons per cell

Lattice parameters (Å, degrees): 5.6305 5.6305 5.6305 60.00 60.00 60.00
Fractional coordinates of all 4 atoms:
I: 0.0000 0.0000 0.0000
I: 0.2500 0.2500 0.2500
I: 0.7500 0.7500 0.7500
Cl: 0.5000 0.5000 0.5000



A plane-wave DFT calculation with PBE was carried out for Li2HoGa2Ag2 after structural relaxation.

Computed properties:
**Formation enthalpy at 0 K**: -0.329 eV per atom
**Total magnetization**: 0.0 Bohr magnetons per cell

Lattice parameters (Å, degrees): 4.6056 4.6056 7.4588 106.79 106.79 59.15
Fractional coordinates of all 7 atoms:
Li: 0.1404 0.1404 0.4302
Li: 0.8596 0.8596 0.5698
Ho: 0.0000 0.0000 0.0000
Ga: 0.4239 0.4239 0.2740
Ga: 0.5761 0.5761 0.7260
Ag: 0.2656 0.2656 0.7912
Ag: 0.7344 0.7344 0.2088



A plane-wave DFT calculation with PBE was carried out for KLiNi2 after structural relaxation.

Computed properties:
**Formation enthalpy at 0 K**: 0.455 eV per atom
**Distance to the lowest polymorph of the same formula**: 96 meV/atom
**Total magnetization**: 0.6 Bohr magnetons per cell

Lattice parameters (Å, degrees): 4.5540 4.5540 6.6662 94.08 94.08 33.82
Fractional coordinates of all 4 atoms:
K: 0.0000 0.0000 0.0000
Li: 0.5000 0.5000 0.5000
Ni: 0.2387 0.2387 0.6426
Ni: 0.7613 0.7613 0.3574